{"formula": "La4Pm8Pu", "functional": "GGA-PBE", "state": "optimized geometry", "lattice_angstrom": [[-5.2921, 0.1050, 5.8139], [-1.1616, -7.3956, -2.4031], [6.4080, -1.2657, 4.3765]], "species": ["La", "La", "La", "La", "Pm", "Pm", "Pm", "Pm", "Pm", "Pm", "Pm", "Pm", "Pu"], "frac_coords": [[0.5000, 0.0000, 0.5000], [0.0000, 0.5000, 0.5000], [0.5000, 0.5000, 0.0000], [0.0000, 0.0000, 0.0000], [0.1632, 0.6693, 0.1632], [0.8368, 0.8368, 0.3307], [0.8368, 0.3307, 0.8368], [0.3307, 0.8368, 0.8368], [0.7557, 0.7557, 0.7557], [0.2443, 0.2443, 0.2443], [0.6693, 0.1632, 0.1632], [0.1632, 0.1632, 0.6693], [0.5000, 0.5000, 0.5000]], "total_energy_ev_per_atom": -5.1439, "rho_g_cm3": 6.918}